[1]
Ce2TiNb after structural relaxation. Source: Alexandria, functional PBE.

The structure in CIF format:
```
data_Ce2TiNb
_chemical_formula_sum 'Ce6 Ti3 Nb3'
_space_group_name_H-M_alt 'P 1'
_space_group_IT_number 1
_space_group_name_Hall 'P 1'
_cell_length_a 2.9935
_cell_length_b 2.9935
_cell_length_c 33.6609
_cell_angle_alpha 90.00
_cell_angle_beta 90.00
_cell_angle_gamma 120.00
loop_
_atom_site_label
_atom_site_type_symbol
_atom_site_fract_x
_atom_site_fract_y
_atom_site_fract_z
Ce1 Ce 0.0000 0.0000 0.0860
Ce2 Ce 0.0000 0.0000 0.9140
Ce3 Ce 0.3333 0.6667 0.5807
Ce4 Ce 0.3333 0.6667 0.7527
Ce5 Ce 0.6667 0.3333 0.2473
Ce6 Ce 0.6667 0.3333 0.4193
Ti1 Ti 0.0000 0.0000 0.5000
Ti2 Ti 0.3333 0.6667 0.1667
Ti3 Ti 0.6667 0.3333 0.8333
Nb1 Nb 0.0000 0.0000 0.0000
Nb2 Nb 0.3333 0.6667 0.6667
Nb3 Nb 0.6667 0.3333 0.3333
```

Output
M_tot = 0.000 μB/atom
Total energy = -84.7 eV for the cell shown
ΔE_f = 0.400 eV per atom

[2]
La2ReRu after structural relaxation. Source: Alexandria, functional PBE.

The structure in CIF format:
```
data_La2ReRu
_chemical_formula_sum 'La8 Re4 Ru4'
_space_group_name_H-M_alt 'P 1'
_space_group_IT_number 1
_space_group_name_Hall 'P 1'
_cell_length_a 7.1219
_cell_length_b 7.1219
_cell_length_c 7.1219
_cell_angle_alpha 90.00
_cell_angle_beta 90.00
_cell_angle_gamma 90.00
loop_
_atom_site_label
_atom_site_type_symbol
_atom_site_fract_x
_atom_site_fract_y
_atom_site_fract_z
La1 La 0.2500 0.2500 0.2500
La2 La 0.2500 0.2500 0.7500
La3 La 0.2500 0.7500 0.2500
La4 La 0.2500 0.7500 0.7500
La5 La 0.7500 0.2500 0.2500
La6 La 0.7500 0.2500 0.7500
La7 La 0.7500 0.7500 0.2500
La8 La 0.7500 0.7500 0.7500
Re1 Re 0.0000 0.0000 0.0000
Re2 Re 0.0000 0.5000 0.5000
Re3 Re 0.5000 0.0000 0.5000
Re4 Re 0.5000 0.5000 0.0000
Ru1 Ru 0.0000 0.0000 0.5000
Ru2 Ru 0.0000 0.5000 0.0000
Ru3 Ru 0.5000 0.0000 0.0000
Ru4 Ru 0.5000 0.5000 0.5000
```

Output
ΔE to the lowest computed polymorph = 350.2 meV per atom
M_tot = 0.000 μB/atom
Total energy = -120.5 eV for the cell shown
ΔE_f = 0.366 eV per atom

[3]
LaNd4Y after structural relaxation. Source: Alexandria, functional PBE.

The structure in CIF format:
```
data_LaNd4Y
_chemical_formula_sum 'La1 Nd4 Y1'
_space_group_name_H-M_alt 'P 1'
_space_group_IT_number 1
_space_group_name_Hall 'P 1'
_cell_length_a 6.3300
_cell_length_b 3.6838
_cell_length_c 9.0332
_cell_angle_alpha 90.00
_cell_angle_beta 90.07
_cell_angle_gamma 90.00
loop_
_atom_site_label
_atom_site_type_symbol
_atom_site_fract_x
_atom_site_fract_y
_atom_site_fract_z
La1 La 0.0000 0.0000 0.0000
Nd1 Nd 0.1663 0.5000 0.3335
Nd2 Nd 0.3340 0.0000 0.6674
Nd3 Nd 0.6660 0.0000 0.3326
Nd4 Nd 0.8337 0.5000 0.6665
Y1 Y 0.5000 0.5000 0.0000
```

Output
ΔE to the lowest computed polymorph = 0.0 meV per atom
M_tot = 0.000 μB/atom
Total energy = -30.4 eV for the cell shown
ΔE_f = 0.014 eV per atom

[4]
In3W after structural relaxation. Source: Alexandria, functional PBE.

The structure in CIF format:
```
data_In3W
_chemical_formula_sum 'In3 W1'
_space_group_name_H-M_alt 'P 1'
_space_group_IT_number 1
_space_group_name_Hall 'P 1'
_cell_length_a 3.0353
_cell_length_b 4.7167
_cell_length_c 5.8610
_cell_angle_alpha 90.00
_cell_angle_beta 90.00
_cell_angle_gamma 90.00
loop_
_atom_site_label
_atom_site_type_symbol
_atom_site_fract_x
_atom_site_fract_y
_atom_site_fract_z
In1 In 0.0000 0.0000 0.0000
In2 In 0.5000 0.5000 0.2611
In3 In 0.5000 0.5000 0.7389
W1 W 0.0000 0.0000 0.5000
```

Output
ΔE to the lowest computed polymorph = 85.9 meV per atom
M_tot = 0.000 μB/atom
Total energy = -18.9 eV for the cell shown
ΔE_f = 0.557 eV per atom